No. 1
# SiHgPd3 (PBE, optimized geometry)
# **M_tot**: 0.00 μB per cell
# **Formation energy from raw total energies**: -72 meV/atom
# **Calculated volume**: 93.4 Å³/cell
# **Distance to the lowest polymorph of the same formula**: 0.0 kJ per mole of atoms
data_SiHgPd3
_cell_length_a 4.5378
_cell_length_b 4.5378
_cell_length_c 4.5378
_cell_angle_alpha 90.00
_cell_angle_beta 90.00
_cell_angle_gamma 90.00
_symmetry_space_group_name_H-M 'P m -3 m'
_symmetry_Int_Tables_number 221
_symmetry_space_group_name_Hall '-P 4 2 3'
loop_
_atom_site_label
_atom_site_type_symbol
_atom_site_fract_x
_atom_site_fract_y
_atom_site_fract_z
Si1 Si 0.0000 0.0000 0.0000
Hg1 Hg 0.5000 0.5000 0.5000
Pd1 Pd 0.0000 0.0000 0.5000

No. 2
# SiHgPd4 (PBE, optimized geometry)
# **M_tot**: 0.00 μB per cell
# **Formation energy from raw total energies**: -407 meV/atom
# **Calculated volume**: 394.5 Å³/cell
# **Distance to the lowest polymorph of the same formula**: 0.0 kJ per mole of atoms
data_SiHgPd4
_cell_length_a 6.8887
_cell_length_b 3.4905
_cell_length_c 16.4086
_cell_angle_alpha 90.00
_cell_angle_beta 90.00
_cell_angle_gamma 90.00
_symmetry_space_group_name_H-M 'P n m a'
_symmetry_Int_Tables_number 62
_symmetry_space_group_name_Hall '-P 2ac 2n'
loop_
_atom_site_label
_atom_site_type_symbol
_atom_site_fract_x
_atom_site_fract_y
_atom_site_fract_z
Si1 Si 0.2479 0.2500 0.0529
Hg1 Hg 0.2504 0.2500 0.8048
Pd1 Pd 0.0045 0.2500 0.9361
Pd2 Pd 0.0729 0.2500 0.1945
Pd3 Pd 0.1240 0.2500 0.6381
Pd4 Pd 0.1372 0.2500 0.4562

No. 3
# SiHg2Pd (PBE, optimized geometry)
# **M_tot**: 0.00 μB per cell
# **Formation energy from raw total energies**: 281 meV/atom
# **Calculated volume**: 326.1 Å³/cell
data_SiHg2Pd
_cell_length_a 7.7922
_cell_length_b 7.7922
_cell_length_c 5.3701
_cell_angle_alpha 90.00
_cell_angle_beta 90.00
_cell_angle_gamma 90.00
_symmetry_space_group_name_H-M 'I -4 2 d'
_symmetry_Int_Tables_number 122
_symmetry_space_group_name_Hall 'I -4 2bw'
loop_
_atom_site_label
_atom_site_type_symbol
_atom_site_fract_x
_atom_site_fract_y
_atom_site_fract_z
Si1 Si 0.0000 0.0000 0.0000
Hg1 Hg 0.2222 0.2500 0.1250
Pd1 Pd 0.0000 0.0000 0.5000

No. 4
# Si2HgPd2 (PBE, optimized geometry)
# **M_tot**: 0.00 μB per cell
# **Formation energy from raw total energies**: -228 meV/atom
# **Calculated volume**: 168.3 Å³/cell
# **Distance to the lowest polymorph of the same formula**: 0.0 kJ per mole of atoms
data_Si2HgPd2
_cell_length_a 3.6472
_cell_length_b 3.6472
_cell_length_c 12.6542
_cell_angle_alpha 90.00
_cell_angle_beta 90.00
_cell_angle_gamma 90.00
_symmetry_space_group_name_H-M 'I 4/m m m'
_symmetry_Int_Tables_number 139
_symmetry_space_group_name_Hall '-I 4 2'
loop_
_atom_site_label
_atom_site_type_symbol
_atom_site_fract_x
_atom_site_fract_y
_atom_site_fract_z
Si1 Si 0.0000 0.5000 0.2500
Hg1 Hg 0.0000 0.0000 0.0000
Pd1 Pd 0.0000 0.0000 0.3813

No. 5
# Si2HgPd2 (PBE, optimized geometry)
# **M_tot**: 0.00 μB per cell
# **Formation energy from raw total energies**: -114 meV/atom
# **Calculated volume**: 166.1 Å³/cell
# **Distance to the lowest polymorph of the same formula**: 11.0 kJ per mole of atoms
data_Si2HgPd2
_cell_length_a 7.5887
_cell_length_b 7.5887
_cell_length_c 2.8845
_cell_angle_alpha 90.00
_cell_angle_beta 90.00
_cell_angle_gamma 90.00
_symmetry_space_group_name_H-M 'P 4/m b m'
_symmetry_Int_Tables_number 127
_symmetry_space_group_name_Hall '-P 4 2ab'
loop_
_atom_site_label
_atom_site_type_symbol
_atom_site_fract_x
_atom_site_fract_y
_atom_site_fract_z
Si1 Si 0.1505 0.3495 0.0000
Hg1 Hg 0.0000 0.0000 0.5000
Pd1 Pd 0.1376 0.6376 0.5000

No. 6
# Si2HgPd2 (PBE, optimized geometry)
# **M_tot**: 0.00 μB per cell
# **Formation energy from raw total energies**: -224 meV/atom
# **Calculated volume**: 173.7 Å³/cell
# **Distance to the lowest polymorph of the same formula**: 0.3 kJ per mole of atoms
data_Si2HgPd2
_cell_length_a 4.2388
_cell_length_b 4.2388
_cell_length_c 9.6652
_cell_angle_alpha 90.00
_cell_angle_beta 90.00
_cell_angle_gamma 90.00
_symmetry_space_group_name_H-M 'I 4/m m m'
_symmetry_Int_Tables_number 139
_symmetry_space_group_name_Hall '-I 4 2'
loop_
_atom_site_label
_atom_site_type_symbol
_atom_site_fract_x
_atom_site_fract_y
_atom_site_fract_z
Si1 Si 0.0000 0.0000 0.1197
Hg1 Hg 0.0000 0.0000 0.5000
Pd1 Pd 0.0000 0.5000 0.2500

No. 7
# SiSn2HgPd (PBE, optimized geometry)
# **M_tot**: 0.00 μB per cell
# **Formation energy from raw total energies**: 965 meV/atom
# **Calculated volume**: 149.5 Å³/cell
data_SiSn2HgPd
_cell_length_a 5.4199
_cell_length_b 5.4199
_cell_length_c 5.0901
_cell_angle_alpha 90.00
_cell_angle_beta 90.00
_cell_angle_gamma 90.00
_symmetry_space_group_name_H-M 'P 4/m m m'
_symmetry_Int_Tables_number 123
_symmetry_space_group_name_Hall '-P 4 2'
loop_
_atom_site_label
_atom_site_type_symbol
_atom_site_fract_x
_atom_site_fract_y
_atom_site_fract_z
Si1 Si 0.0000 0.0000 0.0000
Sn1 Sn 0.0000 0.5000 0.5000
Hg1 Hg 0.5000 0.5000 0.5000
Pd1 Pd 0.5000 0.5000 0.0000

No. 8
# Sr2SiHgPd (PBE, optimized geometry)
# **M_tot**: 0.00 μB per cell
# **Formation energy from raw total energies**: -438 meV/atom
# **Calculated volume**: 159.4 Å³/cell
data_Sr2SiHgPd
_cell_length_a 5.8911
_cell_length_b 5.8911
_cell_length_c 4.5936
_cell_angle_alpha 90.00
_cell_angle_beta 90.00
_cell_angle_gamma 90.00
_symmetry_space_group_name_H-M 'P 4/m m m'
_symmetry_Int_Tables_number 123
_symmetry_space_group_name_Hall '-P 4 2'
loop_
_atom_site_label
_atom_site_type_symbol
_atom_site_fract_x
_atom_site_fract_y
_atom_site_fract_z
Sr1 Sr 0.0000 0.5000 0.0000
Si1 Si 0.0000 0.0000 0.5000
Hg1 Hg 0.5000 0.5000 0.5000
Pd1 Pd 0.0000 0.0000 0.0000

Number 1: uncorrected energy -21.7 eV for the cell shown. Number 2: uncorrected energy -115.8 eV for the cell shown. Number 3: uncorrected energy -40.4 eV for the cell shown. Number 4: uncorrected energy -45.3 eV for the cell shown. Number 5: uncorrected energy -44.2 eV for the cell shown. Number 6: uncorrected energy -45.3 eV for the cell shown. Number 7: uncorrected energy -14.1 eV for the cell shown. Number 8: uncorrected energy -16.5 eV for the cell shown.